Here is TlPt2F after structural relaxation from Alexandria. Energies are from GGA-PBEsol.

Cell: 6.293 6.293 6.293 Å, 90.00 90.00 90.00°
Space group Fm-3m (No. 225)
Inequivalent atoms, fractional coordinates:
Tl: 0.000 0.000 0.000 [4 per cell]
Pt: 0.250 0.250 0.250 [8 per cell]
F: 0.000 0.000 0.500 [4 per cell]

Summary:
calculated volume: 249.21 Å³/cell
density of states at the Fermi level: 5.08 states/eV/cell
VASP energy: -74.0 eV/cell
E_form (uncorrected): -1 kJ/mol of atoms